Computed, not measured: a relaxed Ba2SmMn2O6 crystal at the PBE with a Hubbard U level of DFT.

Output
electronic total energy	-6.6913	eV per atom
crystal system	trigonal
ρ	5.53	Mg/m³

```
data_Ba2SmMn2O6
_cell_length_a 6.0862
_cell_length_b 6.0862
_cell_length_c 17.7273
_cell_angle_alpha 90.00
_cell_angle_beta 90.00
_cell_angle_gamma 120.00
_space_group_name_H-M_alt 'R -3 m'
_space_group_IT_number 166
_space_group_name_Hall '-R 3 2"'
loop_
_atom_site_label
_atom_site_fract_x
_atom_site_fract_y
_atom_site_fract_z
Ba1 0.0000 0.0000 0.2139
Sm1 0.0000 0.0000 0.0000
Mn1 0.0000 0.0000 0.4431
O1 0.0038 0.5019 0.7529
```